1.
Below is an optimized crystal structure of Ac2TlRu, with properties calculated at the PBE level.

Lattice parameters (Å, degrees): 3.9471 5.5074 5.5074 90.00 90.00 90.00
Fractional positions:
Ru 0.5000 0.0000 0.0000
Tl 0.5000 0.5000 0.5000
Ac 0.0000 0.5000 0.0000
Ac 0.0000 0.0000 0.5000

Results
Relative energy among the computed polymorphs (meV/atom): 197

---

2.
Below is an optimized crystal structure of Ac8TlRu2, with properties calculated at the PBE level.

Lattice parameters (Å, degrees): 6.1554 8.6787 8.6787 115.53 97.73 97.73
Fractional positions:
Ac 0.2004 0.3946 0.3946
Ru 0.4999 0.2901 0.7158
Tl 0.9991 0.0038 0.0038
Ac 0.5658 0.0819 0.3412
Ru 0.4999 0.7158 0.2901
Ac 0.0000 0.2464 0.7592
Ac 0.4341 0.6647 0.9241
Ac 0.5658 0.3412 0.0819
Ac 0.4341 0.9241 0.6647
Ac 0.8006 0.6124 0.6124
Ac 0.0000 0.7592 0.2464

Results
Relative energy among the computed polymorphs (meV/atom): 14

---

3.
Below is an optimized crystal structure of Ac2TlRu, with properties calculated at the PBE level.

Lattice parameters (Å, degrees): 7.4520 8.9279 9.4446 113.49 107.80 100.83
Fractional positions:
Tl 0.6342 0.3842 0.7683
Ru 0.3305 0.0805 0.1610
Tl 0.3658 0.6158 0.2317
Ac 0.7826 0.9909 0.5886
Ac 0.3060 0.5977 0.5886
Ac 0.9908 0.7666 0.8800
Ac 0.2174 0.0091 0.4114
Ac 0.3892 0.1134 0.8800
Tl 0.1625 0.4125 0.8250
Tl 0.8375 0.5875 0.1750
Ru 0.0207 0.7707 0.5414
Ru 0.9793 0.2293 0.4586
Ac 0.0092 0.2334 0.1200
Ru 0.6695 0.9195 0.8390
Ac 0.6108 0.8866 0.1200
Ac 0.6940 0.4023 0.4114

Results
Relative energy among the computed polymorphs (meV/atom): 30

---

4.
Below is an optimized crystal structure of Ac5Tl2Ru2, with properties calculated at the PBE level.

Lattice parameters (Å, degrees): 8.1830 8.3618 9.6279 90.00 64.85 90.00
Fractional positions:
Ac 0.5485 0.8355 0.2285
Ru 0.8644 0.6369 0.0000
Ru 0.1356 0.3631 0.0000
Ac 0.5000 0.5000 0.0000
Ac 0.0000 0.0000 0.0000
Ac 0.7770 0.8355 0.7715
Tl 0.7175 0.5000 0.5650
Ac 0.2770 0.6645 0.7715
Ru 0.6356 0.1369 0.0000
Ac 0.2230 0.1645 0.2285
Ru 0.3644 0.8631 0.0000
Ac 0.0485 0.6645 0.2285
Tl 0.7825 0.0000 0.4350
Tl 0.2825 0.5000 0.4350
Ac 0.9515 0.3355 0.7715
Ac 0.4515 0.1645 0.7715
Tl 0.2175 0.0000 0.5650
Ac 0.7230 0.3355 0.2285

Results
Relative energy among the computed polymorphs (meV/atom): 0

---

5.
Below is an optimized crystal structure of AcTlRu, with properties calculated at the PBE level.

Lattice parameters (Å, degrees): 4.4664 5.5819 7.0743 101.01 108.40 90.00
Fractional positions:
Ru 0.2196 0.8991 0.4392
Ac 0.1272 0.3200 0.2544
Ru 0.7804 0.1009 0.5608
Tl 0.5798 0.7949 0.1596
Ac 0.8728 0.6800 0.7456
Tl 0.4202 0.2051 0.8404

---

6.
Below is an optimized crystal structure of Ac5Tl2Ru, with properties calculated at the PBE level.

Lattice parameters (Å, degrees): 4.9167 9.0366 13.1213 90.00 90.00 90.00
Fractional positions:
Ac 0.0000 0.0000 0.5000
Ac 0.5000 0.1797 0.0699
Tl 0.5000 0.9255 0.6705
Ac 0.0000 0.5000 0.0000
Ac 0.0000 0.8618 0.1986
Ac 0.0000 0.1382 0.8014
Ac 0.0000 0.6382 0.6986
Ac 0.5000 0.6797 0.4301
Ru 0.0000 0.5000 0.5000
Tl 0.5000 0.5745 0.1705
Tl 0.5000 0.4255 0.8295
Ac 0.5000 0.3203 0.5699
Tl 0.5000 0.0745 0.3295
Ru 0.0000 0.0000 0.0000
Ac 0.5000 0.8203 0.9301
Ac 0.0000 0.3618 0.3014

Results
Relative energy among the computed polymorphs (meV/atom): 0

---

7.
Below is an optimized crystal structure of Ac6Tl5Ru, with properties calculated at the PBE level.

Lattice parameters (Å, degrees): 5.6727 8.4282 9.8133 115.48 106.87 89.85
Fractional positions:
Tl 0.0000 0.5000 0.0000
Ac 0.8477 0.6210 0.6958
Ru 0.0000 0.0000 0.0000
Tl 0.6616 0.6616 0.3231
Ac 0.4989 0.7826 0.0000
Ac 0.1523 0.3790 0.3042
Ac 0.1519 0.9252 0.3042
Ac 0.5011 0.2174 0.0000
Tl 0.3384 0.3384 0.6769
Tl 0.3118 0.8118 0.6236
Tl 0.6882 0.1882 0.3764
Ac 0.8481 0.0748 0.6958

---

8.
Below is an optimized crystal structure of Ac2TlRu, with properties calculated at the PBE level.

Lattice parameters (Å, degrees): 5.5268 5.5268 5.5268 60.00 60.00 60.00
Fractional positions:
Tl 0.0000 0.0000 0.0000
Ac 0.2500 0.2500 0.2500
Ac 0.7500 0.7500 0.7500
Ru 0.5000 0.5000 0.5000

Results
Relative energy among the computed polymorphs (meV/atom): 170

---

9.
Below is an optimized crystal structure of Ac6Tl3Ru, with properties calculated at the PBE level.

Lattice parameters (Å, degrees): 7.4582 9.2847 11.2612 90.00 83.85 90.00
Fractional positions:
Ac 0.1251 0.2902 0.0738
Tl 0.0789 0.6099 0.2374
Ac 0.3749 0.7902 0.4262
Ac 0.8388 0.9369 0.2351
Ac 0.8749 0.7098 0.9262
Tl 0.4211 0.1099 0.2626
Ac 0.3388 0.5631 0.7351
Tl 0.5789 0.8901 0.7374
Ac 0.6694 0.1523 0.9458
Ru 0.5000 0.5000 0.5000
Ac 0.8306 0.6523 0.5542
Ac 0.6612 0.4369 0.2649
Ru 0.0000 0.0000 0.0000
Ac 0.1694 0.3477 0.4458
Ac 0.6251 0.2098 0.5738
Tl 0.5000 0.5000 0.0000
Ac 0.1612 0.0631 0.7649
Tl 0.0000 0.0000 0.5000
Ac 0.3306 0.8477 0.0542
Tl 0.9211 0.3901 0.7626

---

10.
Below is an optimized crystal structure of AcYTlRu, with properties calculated at the PBE level.

Lattice parameters (Å, degrees): 5.3270 5.3270 5.3270 60.00 60.00 60.00
Fractional positions:
Tl 0.2500 0.2500 0.2500
Y 0.5000 0.5000 0.5000
Ru 0.7500 0.7500 0.7500
Ac 0.0000 0.0000 0.0000

---

11.
Below is an optimized crystal structure of Ac2TlZnRu, with properties calculated at the PBE level.

Lattice parameters (Å, degrees): 4.4629 7.8598 8.8419 110.44 90.00 90.00
Fractional positions:
Ac 0.7500 0.8467 0.6556
Zn 0.7500 0.4364 0.2881
Ru 0.2500 0.8880 0.9157
Ac 0.2500 0.2688 0.9541
Tl 0.2500 0.6792 0.3376
Tl 0.7500 0.3208 0.6624
Ru 0.7500 0.1120 0.0843
Ac 0.2500 0.1533 0.3444
Zn 0.2500 0.5636 0.7119
Ac 0.7500 0.7312 0.0459

---

12.
Below is an optimized crystal structure of AcTm3Ru, with properties calculated at the PBE level.

Lattice parameters (Å, degrees): 5.4001 5.4001 5.4001 90.00 90.00 90.00
Fractional positions:
Tm 0.0000 0.0000 0.5000
Tm 0.0000 0.5000 0.0000
Ru 0.0000 0.0000 0.0000
Tm 0.5000 0.0000 0.0000
Ac 0.5000 0.5000 0.5000

---

13.
Below is an optimized crystal structure of AcTmRu, with properties calculated at the PBE level.

Lattice parameters (Å, degrees): 7.0278 6.7843 7.7611 95.63 90.00 90.00
Fractional positions:
Ru 0.7680 0.9976 0.8322
Ac 0.0769 0.7298 0.3935
Ru 0.7320 0.4976 0.3322
Ac 0.4231 0.2298 0.8935
Tm 0.4243 0.2647 0.3916
Ru 0.2680 0.5024 0.6678
Tm 0.9243 0.2353 0.1084
Ac 0.5769 0.7702 0.1065
Tm 0.0757 0.7647 0.8916
Tm 0.5757 0.7353 0.6084
Ac 0.9231 0.2702 0.6065
Ru 0.2320 0.0024 0.1678

Results
Relative energy among the computed polymorphs (meV/atom): 0

---

14.
Below is an optimized crystal structure of Ac2TmRu, with properties calculated at the PBE level.

Lattice parameters (Å, degrees): 3.9915 3.9915 10.9746 79.52 79.52 60.00
Fractional positions:
Ac 0.8875 0.8875 0.3376
Ru 0.5000 0.5000 0.5000
Tm 0.0000 0.0000 0.0000
Ac 0.1125 0.1125 0.6624

---

15.
Below is an optimized crystal structure of AcTmRu2, with properties calculated at the PBE level.

Lattice parameters (Å, degrees): 3.5167 3.5167 7.0188 90.00 90.00 90.00
Fractional positions:
Tm 0.5000 0.5000 0.0000
Ru 0.0000 0.0000 0.2314
Ru 0.0000 0.0000 0.7686
Ac 0.5000 0.5000 0.5000

Results
Relative energy among the computed polymorphs (meV/atom): 15

---

16.
Below is an optimized crystal structure of AcTmRu, with properties calculated at the PBE level.

Lattice parameters (Å, degrees): 4.9634 4.9634 4.9634 60.00 60.00 60.00
Fractional positions:
Ac 0.5000 0.5000 0.5000
Tm 0.0000 0.0000 0.0000
Ru 0.2500 0.2500 0.2500

Results
Relative energy among the computed polymorphs (meV/atom): 60

---

17.
Below is an optimized crystal structure of Ac2Tm3Ru2, with properties calculated at the PBE level.

Lattice parameters (Å, degrees): 3.9840 6.5258 8.5035 72.81 76.45 72.23
Fractional positions:
Tm 0.5000 0.0000 0.0000
Tm 0.3715 0.8346 0.4224
Ru 0.8318 0.0992 0.2371
Ac 0.1610 0.4670 0.2109
Ac 0.8390 0.5330 0.7891
Tm 0.6285 0.1654 0.5776
Ru 0.1682 0.9008 0.7629

---

18.
Below is an optimized crystal structure of AcTmRu, with properties calculated at the PBE level.

Lattice parameters (Å, degrees): 3.5288 3.5288 7.2030 104.18 104.18 90.00
Fractional positions:
Ru 0.6779 0.6779 0.3558
Ac 0.0347 0.0347 0.0694
Tm 0.2874 0.2874 0.5747

Results
Relative energy among the computed polymorphs (meV/atom): 42

---

19.
Below is an optimized crystal structure of AcTmRu2, with properties calculated at the PBE level.

Lattice parameters (Å, degrees): 4.9657 4.9657 4.9657 60.00 60.00 60.00
Fractional positions:
Ru 0.2500 0.2500 0.2500
Ru 0.7500 0.7500 0.7500
Tm 0.0000 0.0000 0.0000
Ac 0.5000 0.5000 0.5000

Results
Relative energy among the computed polymorphs (meV/atom): 0

---

20.
Below is an optimized crystal structure of AcURu4, with properties calculated at the PBE level.

Lattice parameters (Å, degrees): 5.4060 5.4060 5.4060 60.00 60.00 60.00
Site moments in Bohr magnetons follow the coordinates.
Fractional positions:
Ru 0.6242 0.6242 0.6242  0.18
Ac 0.0000 0.0000 0.0000  -0.03
Ru 0.1273 0.6242 0.6242  0.18
Ru 0.6242 0.1273 0.6242  0.18
U 0.2500 0.2500 0.2500  -1.73
Ru 0.6242 0.6242 0.1273  0.18

---

21.
Below is an optimized crystal structure of Ac2URu2, with properties calculated at the PBE level.

Lattice parameters (Å, degrees): 4.3777 4.3777 10.0726 77.45 77.45 60.00
Site moments in Bohr magnetons follow the coordinates.
Fractional positions:
Ac 0.4281 0.4281 0.7158  0.01
Ru 0.3078 0.3078 0.0767  -0.08
U 0.0000 0.0000 0.0000  0.59
Ru 0.6922 0.6922 0.9233  -0.08
Ac 0.5719 0.5719 0.2842  0.01

---

22.
Below is an optimized crystal structure of AcURu2, with properties calculated at the PBE level.

Lattice parameters (Å, degrees): 3.4078 3.4078 7.5789 90.00 90.00 90.00
Fractional positions:
U 0.5000 0.5000 0.0000
Ru 0.0000 0.0000 0.1870
Ru 0.0000 0.0000 0.8130
Ac 0.5000 0.5000 0.5000

Results
Relative energy among the computed polymorphs (meV/atom): 163

---

23.
Below is an optimized crystal structure of AcURu2, with properties calculated at the PBE level.

Lattice parameters (Å, degrees): 4.4082 4.4082 6.3476 69.68 69.68 60.00
Fractional positions:
U 0.0000 0.0000 0.0000
Ru 0.7028 0.7028 0.8915
Ru 0.2972 0.2972 0.1085
Ac 0.5000 0.5000 0.5000

Results
Relative energy among the computed polymorphs (meV/atom): 0

---

24.
Below is an optimized crystal structure of AcURu2, with properties calculated at the PBE level.

Lattice parameters (Å, degrees): 4.2779 7.4581 6.9214 122.60 90.00 90.00
Site moments in Bohr magnetons follow the coordinates.
Fractional positions:
Ac 0.2500 0.8627 0.7254  0.01
Ac 0.7500 0.1373 0.2746  0.01
Ru 0.2500 0.7851 0.1873  -0.09
Ru 0.7500 0.5978 0.8127  -0.09
U 0.7500 0.6233 0.2467  0.55
U 0.2500 0.3767 0.7533  0.55
Ru 0.2500 0.4022 0.1873  -0.09
Ru 0.7500 0.2149 0.8127  -0.09

Results
Relative energy among the computed polymorphs (meV/atom): 189

---

25.
Below is an optimized crystal structure of AcYRu, with properties calculated at the PBE level.

Lattice parameters (Å, degrees): 4.9956 4.9956 4.9956 60.00 60.00 60.00
Fractional positions:
Y 0.0000 0.0000 0.0000
Ru 0.2500 0.2500 0.2500
Ac 0.5000 0.5000 0.5000

Results
Relative energy among the computed polymorphs (meV/atom): 46

---

| no. | DFT formation energy (eV per atom) | magnetization (μB/f.u.) |
| --- | --- | --- |
| 1 | 0.00 | 0.000 |
| 2 | -0.08 | 0.000 |
| 3 | -0.17 | 0.000 |
| 4 | -0.22 | 0.000 |
| 5 | -0.16 | 0.000 |
| 6 | -0.28 | 0.000 |
| 7 | -0.28 | 0.000 |
| 8 | -0.03 | 0.000 |
| 9 | -0.22 | 0.000 |
| 10 | -0.08 | 0.000 |
| 11 | -0.25 | 0.000 |
| 12 | -0.16 | 0.000 |
| 13 | -0.21 | 0.000 |
| 14 | 0.28 | 0.001 |
| 15 | -0.10 | 0.000 |
| 16 | -0.15 | 0.000 |
| 17 | -0.28 | 0.000 |
| 18 | -0.17 | 0.000 |
| 19 | -0.11 | 0.000 |
| 20 | 0.03 | 1.260 |
| 21 | -0.24 | 0.560 |
| 22 | -0.15 | 0.038 |
| 23 | -0.31 | 0.000 |
| 24 | -0.12 | 0.441 |
| 25 | -0.14 | 0.000 |